Compound: HfSbC
Source: Alexandria via LeMat-Bulk
Functional: PBE-GGA
Structure: relaxed

Unit cell a=8.1943 b=8.1943 c=8.1943 alpha=153.45 beta=150.89 gamma=39.80
Fractional positions:
Hf 0.1108 0.1108 0.0000
Hf 0.8892 0.8892 0.0000
Sb 0.3133 0.3133 0.0000
Sb 0.6867 0.6867 0.0000
C 0.3436 0.0000 0.3436
C 0.6564 0.0000 0.6564

## Properties
uncorrected formation energy: 0.0857 eV per atom
energy: -23.043 eV/f.u.
space group: Immm (71)
Fermi-level density of states: 0.55 states/eV/atom
total moment: 0.0 μB/cell

=====

Compound: Tb6Er2Ag
Source: Alexandria via LeMat-Bulk
Functional: PBE-GGA
Structure: relaxed

Unit cell a=9.7506 b=9.7506 c=3.5417 alpha=90.00 beta=90.00 gamma=123.48
Fractional positions:
Tb 0.0141 0.3378 0.0000
Tb 0.2924 0.2924 0.5000
Tb 0.3378 0.0141 0.0000
Tb 0.6622 0.9859 0.0000
Tb 0.7076 0.7076 0.5000
Tb 0.9859 0.6622 0.0000
Er 0.3176 0.6824 0.5000
Er 0.6824 0.3176 0.5000
Ag 0.0000 0.0000 0.0000

## Properties
formation energy: 97 meV/atom
energy: -38.886 eV/f.u.
space group: Cmmm (65)
Fermi-level density of states: 1.36 states/eV/atom
total moment: 0.0 μB/cell

=====

Compound: Cs2UO4
Source: Alexandria via LeMat-Bulk
Functional: PBE-GGA
Structure: relaxed

Unit cell a=8.2810 b=8.2810 c=8.2810 alpha=149.01 beta=149.01 gamma=44.39
Fractional positions:
Cs 0.1541 0.1541 0.0000
Cs 0.8459 0.8459 0.0000
U 0.5000 0.5000 0.0000
O 0.0000 0.5000 0.5000
O 0.3729 0.3729 0.0000
O 0.5000 0.0000 0.5000
O 0.6271 0.6271 0.0000

## Properties
uncorrected formation energy: -2.6336 eV per atom
energy: -51.263 eV/f.u.
space group: I4/mmm (139)
Fermi-level density of states: 0.00 states/eV/atom
total moment: 0.0 μB/cell

=====

Compound: NdNiPdAu
Source: Alexandria via LeMat-Bulk
Functional: PBE-GGA
Structure: relaxed

Unit cell a=4.7317 b=4.7317 c=4.7317 alpha=60.00 beta=60.00 gamma=60.00
Fractional positions:
Nd 0.0000 0.0000 0.0000
Ni 0.2500 0.2500 0.2500
Pd 0.7500 0.7500 0.7500
Au 0.5000 0.5000 0.5000

## Properties
formation energy: -408 meV/atom
energy: -20.651 eV/f.u.
space group: F-43m (216)
Fermi-level density of states: 0.64 states/eV/atom
total moment: 0.0 μB/cell

=====

Compound: Al3V12Ir
Source: Alexandria via LeMat-Bulk
Functional: PBE-GGA
Structure: relaxed

Unit cell a=4.7865 b=4.7915 c=9.6378 alpha=90.00 beta=90.00 gamma=90.00
Fractional positions:
Al 0.0000 0.0000 0.0000
Al 0.5000 0.5000 0.2493
Al 0.5000 0.5000 0.7507
V 0.0000 0.5000 0.1302
V 0.0000 0.5000 0.3796
V 0.0000 0.5000 0.6204
V 0.0000 0.5000 0.8698
V 0.2468 0.0000 0.2534
V 0.2468 0.0000 0.7466
V 0.5000 0.2490 0.5000
V 0.5000 0.2576 0.0000
V 0.5000 0.7424 0.0000
V 0.5000 0.7510 0.5000
V 0.7532 0.0000 0.2534
V 0.7532 0.0000 0.7466
Ir 0.0000 0.0000 0.5000

## Properties
formation energy: -248 meV/atom
energy: -133.472 eV/f.u.
space group: Pmmm (47)
Fermi-level density of states: 1.44 states/eV/atom
total moment: 0.0 μB/cell

=====

Compound: Li2SeBrO3
Source: Alexandria via LeMat-Bulk
Functional: PBE-GGA
Structure: relaxed

Unit cell a=8.5117 b=8.5117 c=8.5117 alpha=39.44 beta=39.44 gamma=39.44
Fractional positions:
Li 0.0000 0.0000 0.0000
Li 0.0000 0.0000 0.5000
Li 0.0000 0.5000 0.0000
Li 0.5000 0.0000 0.0000
Se 0.4242 0.4242 0.4242
Se 0.5758 0.5758 0.5758
Br 0.2994 0.2994 0.2994
Br 0.7006 0.7006 0.7006
O 0.2292 0.7100 0.7100
O 0.2900 0.2900 0.7708
O 0.2900 0.7708 0.2900
O 0.7100 0.2292 0.7100
O 0.7100 0.7100 0.2292
O 0.7708 0.2900 0.2900

## Properties
uncorrected formation energy: -1.0498 eV per atom
energy: -31.209 eV/f.u.
space group: R-3m (166)
Fermi-level density of states: 0.42 states/eV/atom
total moment: 0.6 μB/cell

=====

Compound: Mg2AgPd
Source: Alexandria via LeMat-Bulk
Functional: PBE-GGA
Structure: relaxed

Unit cell a=5.8758 b=5.8758 c=5.8758 alpha=104.14 beta=104.14 gamma=120.76
Fractional positions:
Mg 0.1115 0.6250 0.9865
Mg 0.3750 0.3615 0.4865
Mg 0.6385 0.1250 0.0135
Mg 0.8750 0.8885 0.5135
Ag 0.2500 0.7500 0.5000
Ag 0.5000 0.5000 0.0000
Pd 0.0000 0.0000 0.0000
Pd 0.7500 0.2500 0.5000

## Properties
formation energy: -182 meV/atom
energy: -11.960 eV/f.u.
space group: I-42d (122)
Fermi-level density of states: 0.36 states/eV/atom
total moment: 0.0 μB/cell

=====

Compound: Pu2Mn2P2C
Source: Alexandria via LeMat-Bulk
Functional: PBE-GGA
Structure: relaxed

Unit cell a=7.6140 b=7.6140 c=7.6140 alpha=150.73 beta=150.73 gamma=41.87
Fractional positions:
Pu 0.1713 0.1713 0.0000
Pu 0.8287 0.8287 0.0000
Mn 0.0000 0.5000 0.5000
Mn 0.5000 0.0000 0.5000
P 0.3883 0.3883 0.0000
P 0.6117 0.6117 0.0000
C 0.0000 0.0000 0.0000

## Properties
formation energy: -602 meV/atom
energy: -71.262 eV/f.u.
space group: I4/mmm (139)
Fermi-level density of states: 2.06 states/eV/atom
total moment: 12.5 μB/cell

=====

Compound: MgSO9
Source: Alexandria via LeMat-Bulk
Functional: PBE-GGA
Structure: relaxed

Unit cell a=5.2983 b=5.2983 c=5.2983 alpha=94.14 beta=94.14 gamma=94.14
Fractional positions:
Mg 0.0000 0.0000 0.0000
S 0.5001 0.5001 0.5001
O 0.0193 0.4100 0.0892
O 0.0892 0.0193 0.4100
O 0.3152 0.5010 0.6842
O 0.4100 0.0892 0.0193
O 0.5010 0.6842 0.3152
O 0.5902 0.9809 0.9120
O 0.6842 0.3152 0.5010
O 0.9120 0.5902 0.9809
O 0.9809 0.9120 0.5902

## Properties
uncorrected formation energy: -0.6129 eV per atom
energy: -57.087 eV/f.u.
space group: R3 (146)
Fermi-level density of states: 0.34 states/eV/atom
energy relative to the lowest polymorph listed for this composition: 0.223 eV per atom
total moment: 4.0 μB/cell

=====

Compound: Dy2Si3Ni
Source: Alexandria via LeMat-Bulk
Functional: PBE-GGA
Structure: relaxed

Unit cell a=4.0174 b=4.0197 c=6.8623 alpha=90.00 beta=90.00 gamma=90.00
Fractional positions:
Dy 0.0000 0.0000 0.0000
Dy 0.5000 0.0000 0.4998
Si 0.0000 0.5000 0.3189
Si 0.0000 0.5000 0.6624
Si 0.5000 0.5000 0.8493
Ni 0.5000 0.5000 0.1738

## Properties
uncorrected formation energy: -0.7995 eV per atom
energy: -36.052 eV/f.u.
space group: Pmm2 (25)
Fermi-level density of states: 0.51 states/eV/atom
total moment: 0.0 μB/cell

=====

Compound: K8I3BrCl4
Source: Alexandria via LeMat-Bulk
Functional: PBE-GGA
Structure: relaxed

Unit cell a=9.4727 b=9.4727 c=9.5366 alpha=119.77 beta=119.77 gamma=60.03
Fractional positions:
K 0.2349 0.7464 0.7278
K 0.2402 0.2402 0.7208
K 0.2544 0.2544 0.2730
K 0.2536 0.7651 0.2722
K 0.7464 0.2349 0.7278
K 0.7456 0.7456 0.7270
K 0.7598 0.7598 0.2792
K 0.7651 0.2536 0.2722
I 0.0000 0.5000 0.0000
I 0.5000 0.0000 0.0000
I 0.5000 0.5000 0.0000
Br 0.0000 0.0000 0.0000
Cl 0.0000 0.0000 0.5000
Cl 0.0000 0.5000 0.5000
Cl 0.5000 0.0000 0.5000
Cl 0.5000 0.5000 0.5000

## Properties
uncorrected formation energy: -1.7401 eV per atom
energy: -50.332 eV/f.u.
space group: C2/m (12)
Fermi-level density of states: 0.00 states/eV/atom
total moment: 0.0 μB/cell

=====

Compound: Er3Ag2Pd
Source: Alexandria via LeMat-Bulk
Functional: PBE-GGA
Structure: relaxed

Unit cell a=5.0280 b=5.0280 c=6.1811 alpha=90.00 beta=90.00 gamma=120.00
Fractional positions:
Er 0.0000 0.0000 0.0000
Er 0.3333 0.6667 0.6546
Er 0.6667 0.3333 0.3454
Ag 0.3333 0.6667 0.1560
Ag 0.6667 0.3333 0.8440
Pd 0.0000 0.0000 0.5000

## Properties
formation energy: -525 meV/atom
energy: -27.736 eV/f.u.
space group: P-3m1 (164)
Fermi-level density of states: 0.59 states/eV/atom
energy relative to the lowest polymorph listed for this composition: 0.007 eV per atom
total moment: 0.0 μB/cell